# 1
Compound: La4TlAsI2
Source: Alexandria
Functional: GGA-PBE
Structure: optimized geometry

Summary:
Formation energy without anion corrections, eV per atom: -1.0394
Space group: P2/m

a = 7.906 Å, b = 4.539 Å, c = 8.041 Å
α = 90.00°, β = 109.07°, γ = 90.00°
Fractional coordinates of all 8 atoms:
La 0.224 0.000 0.212
La 0.245 0.500 0.777
La 0.755 0.500 0.223
La 0.776 0.000 0.788
Tl 0.500 0.000 0.000
As 0.000 0.500 0.000
I 0.000 0.000 0.500
I 0.500 0.500 0.500


# 2
Compound: TbNd2Ho4
Source: Alexandria
Functional: GGA-PBE
Structure: optimized geometry

Summary:
Formation energy, eV/atom: 0.09
Space group: P-1

a = 3.527 Å, b = 8.575 Å, c = 8.615 Å
α = 62.18°, β = 82.34°, γ = 88.05°
Fractional coordinates of all 7 atoms:
Tb 0.000 0.000 0.000
Nd 0.430 0.870 0.723
Nd 0.570 0.130 0.277
Ho 0.032 0.716 0.450
Ho 0.381 0.420 0.842
Ho 0.619 0.580 0.158
Ho 0.968 0.284 0.550


| no. | calculated density (kg/m³) | total energy (eV/atom) |
| --- | --- | --- |
| 1 | 6629 | -4.7676 |
| 2 | 8053 | -4.5536 |